Computed, not measured: a relaxed structure of Be2CuAu2 at the PBE level of DFT.

The calculation puts the formation energy from the elements at -1.7 kcal/mol of atoms. Its energy above the lowest structure with this stoichiometry is 36.9 meV/atom.

It has space group I4/mmm (No. 139), with a = 3.292 Å, b = 3.292 Å, c = 12.541 Å, α = 90.00°, β = 90.00° and γ = 90.00°. The inequivalent atoms are Be at (0.000, 0.500, 0.250), Cu at (0.000, 0.000, 0.000) and Au at (0.000, 0.000, 0.385).